one:
The following is a PBE calculation of a geometry-optimized TlCuRePt structure, from the Open Quantum Materials Database.

Results
- Density: 16.24 Mg/m³
- V: 16.59 A^3/atom
- Space-group type: F-43m, No. 216

a b c (Å): 4.545 4.545 4.545
angles (deg): 60.00 60.00 60.00
Positions (direct):
1 Cu 0.750 0.750 0.750
2 Pt 0.500 0.500 0.500
3 Re 0.250 0.250 0.250
4 Tl 0.000 0.000 0.000

***

two:
The following is a PBE calculation of a geometry-optimized TlCuRePt structure, from the Open Quantum Materials Database.

Results
- Density: 16.16 Mg/m³
- V: 16.68 A^3/atom
- Space-group type: F-43m, No. 216

a b c (Å): 4.553 4.553 4.553
angles (deg): 60.00 60.00 60.00
Positions (direct):
1 Cu 0.750 0.750 0.750
2 Pt 0.250 0.250 0.250
3 Re 0.500 0.500 0.500
4 Tl 0.000 0.000 0.000

***

Least stable = two

***

one:
The following is a PBE calculation of a geometry-optimized TlCuPtS3 structure, from the Open Quantum Materials Database.

Results
- Density: 7.29 Mg/m³
- V: 21.24 A^3/atom
- Space-group type: P2_1/m, No. 11

a b c (Å): 7.497 3.728 9.675
angles (deg): 90.00 109.53 90.00
Positions (direct):
1 Cu 0.938 0.750 0.409
2 Cu 0.062 0.250 0.591
3 Pt 0.664 0.250 0.147
4 Pt 0.336 0.750 0.853
5 S 0.446 0.750 0.116
6 S 0.877 0.750 0.161
7 S 0.744 0.250 0.415
8 S 0.256 0.750 0.585
9 S 0.123 0.250 0.839
10 S 0.554 0.250 0.884
11 Tl 0.263 0.250 0.324
12 Tl 0.737 0.750 0.676

***

two:
The following is a PBE calculation of a geometry-optimized TlCuPtS3 structure, from the Open Quantum Materials Database.

Results
- Density: 7.80 Mg/m³
- V: 19.84 A^3/atom
- Space-group type: Cmcm, No. 63

a b c (Å): 10.286 6.568 6.568
angles (deg): 32.46 90.00 90.00
Positions (direct):
1 Cu 0.500 0.408 0.408
2 Cu 0.000 0.592 0.592
3 Pt 0.250 0.000 0.000
4 Pt 0.750 0.000 0.000
5 S 0.500 0.026 0.026
6 S 0.280 0.380 0.380
7 S 0.720 0.380 0.380
8 S 0.220 0.620 0.620
9 S 0.780 0.620 0.620
10 S 0.000 0.974 0.974
11 Tl 0.000 0.280 0.280
12 Tl 0.500 0.720 0.720

***

Least stable = two

***

one:
The following is a PBE calculation of a geometry-optimized ScCuSbPt structure, from the Open Quantum Materials Database.

Results
- Density: 9.83 Mg/m³
- V: 17.97 A^3/atom
- Space-group type: F-43m, No. 216

a b c (Å): 4.667 4.667 4.667
angles (deg): 60.00 60.00 60.00
Positions (direct):
1 Cu 0.750 0.750 0.750
2 Pt 0.500 0.500 0.500
3 Sb 0.000 0.000 0.000
4 Sc 0.250 0.250 0.250

***

two:
The following is a PBE calculation of a geometry-optimized ScCuSbPt structure, from the Open Quantum Materials Database.

Results
- Density: 9.91 Mg/m³
- V: 17.81 A^3/atom
- Space-group type: F-43m, No. 216

a b c (Å): 4.654 4.654 4.654
angles (deg): 60.00 60.00 60.00
Positions (direct):
1 Cu 0.750 0.750 0.750
2 Pt 0.250 0.250 0.250
3 Sb 0.000 0.000 0.000
4 Sc 0.500 0.500 0.500

***

Least stable = one

***

one:
The following is a PBE calculation of a geometry-optimized TaCuSbPt structure, from the Open Quantum Materials Database.

Results
- Density: 13.38 Mg/m³
- V: 17.42 A^3/atom
- Space-group type: F-43m, No. 216

a b c (Å): 4.619 4.619 4.619
angles (deg): 60.00 60.00 60.00
Positions (direct):
1 Cu 0.750 0.750 0.750
2 Pt 0.250 0.250 0.250
3 Sb 0.000 0.000 0.000
4 Ta 0.500 0.500 0.500

***

two:
The following is a PBE calculation of a geometry-optimized TaCuSbPt structure, from the Open Quantum Materials Database.

Results
- Density: 13.48 Mg/m³
- V: 17.29 A^3/atom
- Space-group type: F-43m, No. 216

a b c (Å): 4.608 4.608 4.608
angles (deg): 60.00 60.00 60.00
Positions (direct):
1 Cu 0.750 0.750 0.750
2 Pt 0.500 0.500 0.500
3 Sb 0.000 0.000 0.000
4 Ta 0.250 0.250 0.250

***

Least stable = one

***

one:
The following is a PBE calculation of a geometry-optimized ZrCuSbPt structure, from the Open Quantum Materials Database.

Results
- Density: 10.68 Mg/m³
- V: 18.34 A^3/atom
- Space-group type: F-43m, No. 216

a b c (Å): 4.699 4.699 4.699
angles (deg): 60.00 60.00 60.00
Positions (direct):
1 Cu 0.750 0.750 0.750
2 Pt 0.250 0.250 0.250
3 Sb 0.000 0.000 0.000
4 Zr 0.500 0.500 0.500

***

two:
The following is a PBE calculation of a geometry-optimized ZrCuSbPt structure, from the Open Quantum Materials Database.

Results
- Density: 10.62 Mg/m³
- V: 18.44 A^3/atom
- Space-group type: F-43m, No. 216

a b c (Å): 4.707 4.707 4.707
angles (deg): 60.00 60.00 60.00
Positions (direct):
1 Cu 0.750 0.750 0.750
2 Pt 0.500 0.500 0.500
3 Sb 0.000 0.000 0.000
4 Zr 0.250 0.250 0.250

***

Least stable = two

***

one:
The following is a PBE calculation of a geometry-optimized TlCuPtSe3 structure, from the Open Quantum Materials Database.

Results
- Density: 8.44 Mg/m³
- V: 22.94 A^3/atom
- Space-group type: Cmcm, No. 63

a b c (Å): 7.116 7.116 10.478
angles (deg): 90.00 90.00 31.25
Positions (direct):
1 Cu 0.560 0.560 0.250
2 Cu 0.440 0.440 0.750
3 Pt 0.000 0.000 0.000
4 Pt 0.000 0.000 0.500
5 Se 0.619 0.619 0.030
6 Se 0.950 0.950 0.250
7 Se 0.619 0.619 0.470
8 Se 0.381 0.381 0.530
9 Se 0.050 0.050 0.750
10 Se 0.381 0.381 0.970
11 Tl 0.251 0.251 0.250
12 Tl 0.749 0.749 0.750

***

two:
The following is a PBE calculation of a geometry-optimized TlCuPtSe3 structure, from the Open Quantum Materials Database.

Results
- Density: 8.63 Mg/m³
- V: 22.45 A^3/atom
- Space-group type: C2/m, No. 12

a b c (Å): 8.500 8.500 8.719
angles (deg): 102.92 102.92 26.06
Positions (direct):
1 Cu 0.501 0.501 0.292
2 Cu 0.499 0.499 0.708
3 Pt 0.833 0.833 0.418
4 Pt 0.167 0.167 0.582
5 Se 0.500 0.500 0.000
6 Se 0.348 0.348 0.240
7 Se 0.663 0.663 0.393
8 Se 0.000 0.000 0.500
9 Se 0.337 0.337 0.607
10 Se 0.652 0.652 0.760
11 Tl 0.145 0.145 0.065
12 Tl 0.855 0.855 0.935

***

Least stable = two

***

one:
The following is a PBE calculation of a geometry-optimized TlCuPtSe3 structure, from the Open Quantum Materials Database.

Results
- Density: 8.16 Mg/m³
- V: 23.72 A^3/atom
- Space-group type: Pnma, No. 62

a b c (Å): 13.826 3.910 10.534
angles (deg): 90.00 90.00 90.00
Positions (direct):
1 Cu 0.489 0.750 0.076
2 Cu 0.989 0.750 0.424
3 Cu 0.011 0.250 0.576
4 Cu 0.511 0.250 0.924
5 Pt 0.990 0.250 0.153
6 Pt 0.490 0.250 0.347
7 Pt 0.510 0.750 0.653
8 Pt 0.010 0.750 0.847
9 Se 0.088 0.750 0.064
10 Se 0.589 0.250 0.141
11 Se 0.886 0.750 0.233
12 Se 0.386 0.750 0.267
13 Se 0.089 0.250 0.359
14 Se 0.588 0.750 0.436
15 Se 0.412 0.250 0.564
16 Se 0.911 0.750 0.641
17 Se 0.614 0.250 0.733
18 Se 0.114 0.250 0.767
19 Se 0.411 0.750 0.859
20 Se 0.912 0.250 0.936
21 Tl 0.288 0.250 0.036
22 Tl 0.788 0.250 0.464
23 Tl 0.212 0.750 0.536
24 Tl 0.712 0.750 0.964

***

two:
The following is a PBE calculation of a geometry-optimized TlCuPtSe3 structure, from the Open Quantum Materials Database.

Results
- Density: 8.20 Mg/m³
- V: 23.61 A^3/atom
- Space-group type: Pnma, No. 62

a b c (Å): 9.770 3.938 14.727
angles (deg): 90.00 90.00 90.00
Positions (direct):
1 Cu 0.230 0.750 0.164
2 Cu 0.730 0.750 0.336
3 Cu 0.270 0.250 0.664
4 Cu 0.770 0.250 0.836
5 Pt 0.647 0.750 0.048
6 Pt 0.147 0.750 0.452
7 Pt 0.853 0.250 0.548
8 Pt 0.353 0.250 0.952
9 Se 0.206 0.750 0.008
10 Se 0.495 0.250 0.096
11 Se 0.799 0.750 0.188
12 Se 0.299 0.750 0.312
13 Se 0.995 0.250 0.404
14 Se 0.706 0.750 0.492
15 Se 0.294 0.250 0.507
16 Se 0.005 0.750 0.596
17 Se 0.701 0.250 0.688
18 Se 0.201 0.250 0.812
19 Se 0.505 0.750 0.904
20 Se 0.794 0.250 0.992
21 Tl 0.019 0.250 0.175
22 Tl 0.519 0.250 0.325
23 Tl 0.481 0.750 0.675
24 Tl 0.981 0.750 0.825

***

three:
The following is a PBE calculation of a geometry-optimized TlCuPtSe3 structure, from the Open Quantum Materials Database.

Results
- Density: 8.27 Mg/m³
- V: 23.42 A^3/atom
- Space-group type: Pnma, No. 62

a b c (Å): 13.397 3.889 10.791
angles (deg): 90.00 90.00 90.00
Positions (direct):
1 Cu 0.701 0.250 0.247
2 Cu 0.201 0.250 0.253
3 Cu 0.799 0.750 0.747
4 Cu 0.299 0.750 0.753
5 Pt 0.458 0.750 0.140
6 Pt 0.958 0.750 0.360
7 Pt 0.042 0.250 0.640
8 Pt 0.542 0.250 0.860
9 Se 0.395 0.250 0.007
10 Se 0.801 0.750 0.228
11 Se 0.027 0.250 0.232
12 Se 0.527 0.250 0.268
13 Se 0.301 0.750 0.272
14 Se 0.895 0.250 0.493
15 Se 0.105 0.750 0.507
16 Se 0.699 0.250 0.728
17 Se 0.473 0.750 0.732
18 Se 0.973 0.750 0.768
19 Se 0.199 0.250 0.772
20 Se 0.605 0.750 0.993
21 Tl 0.150 0.750 0.004
22 Tl 0.650 0.750 0.496
23 Tl 0.350 0.250 0.504
24 Tl 0.850 0.250 0.996

***

Least stable = two

***

one:
The following is a PBE calculation of a geometry-optimized TlCuPtSe3 structure, from the Open Quantum Materials Database.

Results
- Density: 8.17 Mg/m³
- V: 23.71 A^3/atom
- Space-group type: P2_1/m, No. 11

a b c (Å): 7.738 3.892 9.948
angles (deg): 90.00 108.30 90.00
Positions (direct):
1 Cu 0.440 0.750 0.414
2 Cu 0.560 0.250 0.586
3 Pt 0.166 0.250 0.147
4 Pt 0.834 0.750 0.853
5 Se 0.944 0.750 0.120
6 Se 0.384 0.750 0.158
7 Se 0.238 0.250 0.420
8 Se 0.762 0.750 0.580
9 Se 0.616 0.250 0.842
10 Se 0.056 0.250 0.880
11 Tl 0.752 0.250 0.320
12 Tl 0.248 0.750 0.680

***

two:
The following is a PBE calculation of a geometry-optimized TlCuPtSe3 structure, from the Open Quantum Materials Database.

Results
- Density: 8.82 Mg/m³
- V: 21.96 A^3/atom
- Space-group type: Pnma, No. 62

a b c (Å): 10.867 3.861 12.563
angles (deg): 90.00 90.00 90.00
Positions (direct):
1 Cu 0.251 0.250 0.146
2 Cu 0.751 0.250 0.354
3 Cu 0.249 0.750 0.646
4 Cu 0.749 0.750 0.854
5 Pt 0.501 0.750 0.250
6 Pt 0.001 0.750 0.250
7 Pt 0.999 0.250 0.750
8 Pt 0.499 0.250 0.750
9 Se 0.473 0.250 0.120
10 Se 0.028 0.250 0.121
11 Se 0.751 0.750 0.229
12 Se 0.251 0.750 0.271
13 Se 0.528 0.250 0.379
14 Se 0.973 0.250 0.380
15 Se 0.027 0.750 0.620
16 Se 0.472 0.750 0.621
17 Se 0.749 0.250 0.729
18 Se 0.249 0.250 0.771
19 Se 0.972 0.750 0.879
20 Se 0.527 0.750 0.880
21 Tl 0.750 0.250 0.030
22 Tl 0.250 0.250 0.470
23 Tl 0.750 0.750 0.530
24 Tl 0.250 0.750 0.970

***

Least stable = two

***

one:
The following is a PBE calculation of a geometry-optimized TaCuSiPt structure, from the Open Quantum Materials Database.

Results
- Density: 12.91 Mg/m³
- V: 15.04 A^3/atom
- Space-group type: F-43m, No. 216

a b c (Å): 4.398 4.398 4.398
angles (deg): 60.00 60.00 60.00
Positions (direct):
1 Cu 0.750 0.750 0.750
2 Pt 0.250 0.250 0.250
3 Si 0.000 0.000 0.000
4 Ta 0.500 0.500 0.500

***

two:
The following is a PBE calculation of a geometry-optimized TaCuSiPt structure, from the Open Quantum Materials Database.

Results
- Density: 12.91 Mg/m³
- V: 15.04 A^3/atom
- Space-group type: F-43m, No. 216

a b c (Å): 4.398 4.398 4.398
angles (deg): 60.00 60.00 60.00
Positions (direct):
1 Cu 0.750 0.750 0.750
2 Pt 0.500 0.500 0.500
3 Si 0.000 0.000 0.000
4 Ta 0.250 0.250 0.250

***

Least stable = one

***

one:
The following is a PBE calculation of a geometry-optimized CuSiPtW structure, from the Open Quantum Materials Database.

Results
- Density: 13.55 Mg/m³
- V: 14.42 A^3/atom
- Space-group type: F-43m, No. 216

a b c (Å): 4.337 4.337 4.337
angles (deg): 60.00 60.00 60.00
Positions (direct):
1 Cu 0.750 0.750 0.750
2 Pt 0.500 0.500 0.500
3 Si 0.000 0.000 0.000
4 W 0.250 0.250 0.250

***

two:
The following is a PBE calculation of a geometry-optimized CuSiPtW structure, from the Open Quantum Materials Database.

Results
- Density: 13.48 Mg/m³
- V: 14.49 A^3/atom
- Space-group type: F-43m, No. 216

a b c (Å): 4.344 4.344 4.344
angles (deg): 60.00 60.00 60.00
Positions (direct):
1 Cu 0.750 0.750 0.750
2 Pt 0.250 0.250 0.250
3 Si 0.000 0.000 0.000
4 W 0.500 0.500 0.500

***

Least stable = two

***

one:
The following is a PBE calculation of a geometry-optimized ZnCuSiPt structure, from the Open Quantum Materials Database.

Results
- Density: 10.30 Mg/m³
- V: 14.20 A^3/atom
- Space-group type: F-43m, No. 216

a b c (Å): 4.314 4.314 4.314
angles (deg): 60.00 60.00 60.00
Positions (direct):
1 Cu 0.750 0.750 0.750
2 Pt 0.500 0.500 0.500
3 Si 0.000 0.000 0.000
4 Zn 0.250 0.250 0.250

***

two:
The following is a PBE calculation of a geometry-optimized ZnCuSiPt structure, from the Open Quantum Materials Database.

Results
- Density: 10.64 Mg/m³
- V: 13.74 A^3/atom
- Space-group type: F-43m, No. 216

a b c (Å): 4.268 4.268 4.268
angles (deg): 60.00 60.00 60.00
Positions (direct):
1 Cu 0.750 0.750 0.750
2 Pt 0.250 0.250 0.250
3 Si 0.000 0.000 0.000
4 Zn 0.500 0.500 0.500

***

Least stable = one